Entry 1:
DFT (meta-GGA SCAN) results for a PBEsol-optimized structure of Be2CuIr.

Values from the calculation:
Volume, Å³ per cell: 41.2
ΔE_f, meV/atom: -566

Unit cell a=2.8051 b=2.8051 c=5.2349 alpha=90.00 beta=90.00 gamma=90.00
With the nearest neighbours (Å) after each atom.
Space group P4/mmm (No. 123)
Symmetry-distinct sites (fractional):
Be 0.0000 0.0000 0.2375 (multiplicity 2)  4 Ir 2.34, 4 Cu 2.41, 1 Be 2.49
Cu 0.5000 0.5000 0.5000 (multiplicity 1)  8 Be 2.41, 2 Ir 2.62
Ir 0.5000 0.5000 0.0000 (multiplicity 1)  8 Be 2.34, 2 Cu 2.62

Entry 2:
DFT (meta-GGA SCAN) results for a PBEsol-optimized structure of BeCuIr3.

Values from the calculation:
Volume, Å³ per cell: 84.1
ΔE_f, meV/atom: 1944

Unit cell a=4.3817 b=4.3817 c=4.3817 alpha=90.00 beta=90.00 gamma=90.00
With the nearest neighbours (Å) after each atom.
Space group Pm-3m (No. 221)
Symmetry-distinct sites (fractional):
Be 0.0000 0.0000 0.0000 (multiplicity 1)  12 Ir 3.10
Cu 0.5000 0.5000 0.5000 (multiplicity 1)  6 Ir 2.19
Ir 0.0000 0.5000 0.5000 (multiplicity 3)  2 Cu 2.19